1.
LuGa2: optimized geometry, PBE-GGA.

Lattice parameters (Å, degrees): 3.455 3.455 5.897 110.29 110.29 80.00
Fractional positions:
Lu  0.500  0.500  0.000
Ga  0.185  0.185  0.371
Ga  0.815  0.815  0.629

## Properties
Crystal system: monoclinic
Space-group type: C2/m
Density (Mg/m³): 8.45
N(E_F) (states/eV per atom): 0.714
DFT formation energy (kJ per mole of atoms): -32.9
Final energy (eV per atom): -3.865

=====

2.
LuGa6: optimized geometry, PBE-GGA.

Lattice parameters (Å, degrees): 6.053 6.053 6.053 109.47 109.47 109.47
Fractional positions:
Lu  0.000  0.000  0.000
Ga  0.250  0.750  0.500
Ga  0.500  0.750  0.250
Ga  0.250  0.500  0.750
Ga  0.750  0.250  0.500
Ga  0.500  0.250  0.750
Ga  0.750  0.500  0.250

## Properties
Crystal system: cubic
Space-group type: Im-3m
Density (Mg/m³): 5.77
N(E_F) (states/eV per atom): 0.555
DFT formation energy (kJ per mole of atoms): 22.7
Final energy (eV per atom): -3.005

=====

3.
LuGa2: optimized geometry, PBE-GGA.

Lattice parameters (Å, degrees): 4.209 5.709 5.709 73.55 68.49 68.49
Fractional positions:
Lu  0.560  0.190  0.690
Lu  0.440  0.810  0.310
Ga  0.160  0.389  0.291
Ga  0.840  0.611  0.709
Ga  0.160  0.791  0.889
Ga  0.840  0.209  0.111

## Properties
Crystal system: monoclinic
Space-group type: C2/m
Density (Mg/m³): 8.93
N(E_F) (states/eV per atom): 0.463
DFT formation energy (kJ per mole of atoms): -55.6
Final energy (eV per atom): -4.101

=====

4.
Lu5Ga3: optimized geometry, PBE-GGA.

Lattice parameters (Å, degrees): 8.409 8.409 6.313 89.24 89.24 119.87
Fractional positions:
Lu  0.505  0.745  0.263
Lu  0.495  0.255  0.737
Lu  0.255  0.495  0.737
Lu  0.745  0.505  0.263
Lu  0.268  0.268  0.230
Lu  0.732  0.732  0.770
Lu  0.853  0.147  0.500
Lu  0.147  0.853  0.500
Lu  0.816  0.184  0.000
Lu  0.184  0.816  0.000
Ga  0.502  0.098  0.287
Ga  0.498  0.902  0.713
Ga  0.902  0.498  0.713
Ga  0.098  0.502  0.287
Ga  0.908  0.908  0.191
Ga  0.092  0.092  0.809

## Properties
Crystal system: monoclinic
Space-group type: C2/m
Density (Mg/m³): 9.30
N(E_F) (states/eV per atom): 0.795
DFT formation energy (kJ per mole of atoms): -48.3
Final energy (eV per atom): -4.461

=====

Please write out number 1 again, unchanged.
LuGa2: optimized geometry, PBE-GGA.

Lattice parameters (Å, degrees): 3.455 3.455 5.897 110.29 110.29 80.00
Fractional positions:
Lu  0.500  0.500  0.000
Ga  0.185  0.185  0.371
Ga  0.815  0.815  0.629

## Properties
Crystal system: monoclinic
Space-group type: C2/m
Density (Mg/m³): 8.45
N(E_F) (states/eV per atom): 0.714
DFT formation energy (kJ per mole of atoms): -32.9
Final energy (eV per atom): -3.865

=====

Copy entry 2 word for word.
LuGa6: optimized geometry, PBE-GGA.

Lattice parameters (Å, degrees): 6.053 6.053 6.053 109.47 109.47 109.47
Fractional positions:
Lu  0.000  0.000  0.000
Ga  0.250  0.750  0.500
Ga  0.500  0.750  0.250
Ga  0.250  0.500  0.750
Ga  0.750  0.250  0.500
Ga  0.500  0.250  0.750
Ga  0.750  0.500  0.250

## Properties
Crystal system: cubic
Space-group type: Im-3m
Density (Mg/m³): 5.77
N(E_F) (states/eV per atom): 0.555
DFT formation energy (kJ per mole of atoms): 22.7
Final energy (eV per atom): -3.005